1.
A plane-wave DFT calculation with GGA-PBE was carried out for a relaxed TlRu3Rh crystal.

Computed properties:
The density is 9.6 g/cm³. For the density of states at the Fermi level, the calculation gives 2.549 states/eV/atom. For the energy, the calculation gives -0.2151 hartree per atom. The energy above the most stable polymorph in this dataset is 0.000 eV per atom. For the formation energy from the elements, the calculation gives 1.66 eV per atom.

Cell lengths 4.719, 4.719, 4.719 Å; angles 90.00, 90.00, 90.00 degrees
Space group Pm-3m (No. 221)
Symmetry-distinct sites (fractional):
Tl 0.000 0.000 0.000 x1
Ru 0.000 0.500 0.500 x3
Rh 0.500 0.500 0.500 x1

2.
A plane-wave DFT calculation with GGA-PBE was carried out for a relaxed Sn2SbIr crystal.

Computed properties:
The density is 7.2 g/cm³. The calculation puts the energy relative to the elements, uncorrected at 0.224 eV per atom. For the density of states at the Fermi level, the calculation gives 0.714 states/eV/atom. For the energy, the calculation gives -0.1846 hartree per atom.

Cell lengths 6.168, 6.168, 13.307 Å; angles 90.00, 90.00, 90.00 degrees
Space group I-42d (No. 122)
Symmetry-distinct sites (fractional):
Sn 0.196 0.250 0.125 x8
Sb 0.000 0.000 0.500 x4
Ir 0.000 0.000 0.000 x4

no.,total magnetization (μB per formula unit)
1,3.0
2,0.0